Material: SmOsC
Method: DFT, PBE
State: relaxed

Output
For the energy above the most stable polymorph in this dataset, the calculation gives 0.1911 eV per atom. Its total magnetization is 0.00 μB/cell. As for the energy of formation: 248.1 meV/atom. As for the total energy: -8.143 eV/atom. The mass density is 13.0 g cm⁻³.

Unit cell a=5.2009 b=6.2810 c=5.5345 alpha=90.00 beta=90.00 gamma=90.00
Last column: nearest neighbours and their distance in Å.
Atoms (fractional coordinates):
Sm 0.1102 0.1008 0.2500  3 C 2.67-2.78
Sm 0.1102 0.3992 0.7500  3 C 2.67-2.78
Sm 0.8898 0.6008 0.2500  3 C 2.67-2.78
Sm 0.8898 0.8992 0.7500  3 C 2.67-2.78
Os 0.4103 0.7500 0.0000  4 C 2.20-2.29
Os 0.4103 0.7500 0.5000  4 C 2.20-2.29
Os 0.5897 0.2500 0.0000  4 C 2.20-2.29
Os 0.5897 0.2500 0.5000  4 C 2.20-2.29
C 0.3825 0.0395 0.7500  4 Os 2.20-2.29
C 0.3825 0.4605 0.2500  4 Os 2.20-2.29
C 0.6175 0.5395 0.7500  4 Os 2.20-2.29
C 0.6175 0.9605 0.2500  4 Os 2.20-2.29

=====

Material: BaPm4Rh3O12
Method: DFT, PBE
State: relaxed

Output
Its total magnetization is 7.02 μB/cell. As for the total energy: -7.188 eV/atom. For the uncorrected formation energy, the calculation gives -3983 kJ/mol of formula units. The mass density is 6.6 g cm⁻³.

Unit cell a=7.3413 b=7.3413 c=7.3413 alpha=109.47 beta=109.47 gamma=109.47
Last column: nearest neighbours and their distance in Å.
Atoms (fractional coordinates):
Ba 0.0000 0.0000 0.0000  12 O 3.04
Pm 0.0000 0.0000 0.5000  6 O 2.35
Pm 0.0000 0.5000 0.0000  6 O 2.35
Pm 0.5000 0.0000 0.0000  6 O 2.35
Pm 0.5000 0.5000 0.5000  6 O 2.35
Rh 0.0000 0.5000 0.5000  4 O 1.99
Rh 0.5000 0.0000 0.5000  4 O 1.99
Rh 0.5000 0.5000 0.0000  4 O 1.99
O 0.1543 0.3234 0.4776  1 Rh 1.99
O 0.1543 0.6766 0.8309  1 Rh 1.99
O 0.1691 0.8457 0.3234  1 Rh 1.99
O 0.3234 0.1691 0.8457  1 Rh 1.99
O 0.3234 0.4776 0.1543  1 Rh 1.99
O 0.4776 0.1543 0.3234  1 Rh 1.99
O 0.5224 0.8457 0.6766  1 Rh 1.99
O 0.6766 0.5224 0.8457  1 Rh 1.99
O 0.6766 0.8309 0.1543  1 Rh 1.99
O 0.8309 0.1543 0.6766  1 Rh 1.99
O 0.8457 0.3234 0.1691  1 Rh 1.99
O 0.8457 0.6766 0.5224  1 Rh 1.99

=====

Which of these has the lowest mass density? BaPm4Rh3O12

=====

The highest mass density belongs to which entry? SmOsC